DFT (GGA+U) results for a relaxed structure of PuAlNiO6.

Summary:
The value obtained for the density is 6.98 Mg/m³. The energy is -138.44 eV/cell.

```
data_PuAlNiO6
_chemical_formula_sum 'Pu2 Al2 Ni2 O12'
_cell_length_a 5.1149
_cell_length_b 5.1149
_cell_length_c 8.9388
_cell_angle_alpha 90.00
_cell_angle_beta 90.00
_cell_angle_gamma 120.00
_space_group_name_H-M_alt 'P -3 1 c'
_space_group_IT_number 163
_space_group_name_Hall '-P 3 2c'
loop_
_atom_site_label
_atom_site_type_symbol
_atom_site_fract_x
_atom_site_fract_y
_atom_site_fract_z
Pu1 Pu 0.3333 0.6667 0.2500
Al1 Al 0.3333 0.6667 0.7500
Ni1 Ni 0.0000 0.0000 0.0000
O1 O 0.0137 0.3523 0.6332
```